Entry from OQMD via LeMat-Bulk: an optimized crystal structure of CoGeTeO (GGA+U).

```
CoGeTeO
1.0
6.335 0.000 0.000
0.000 7.598 0.000
0.000 0.000 12.666
Co Ge O Te
8 8 8 8
Direct
0.011 0.248 0.081
0.489 0.748 0.081
0.511 0.248 0.419
0.989 0.748 0.419
0.011 0.252 0.581
0.489 0.752 0.581
0.511 0.252 0.919
0.989 0.752 0.919
0.254 0.122 0.245
0.246 0.622 0.245
0.754 0.122 0.255
0.746 0.622 0.255
0.254 0.378 0.745
0.246 0.878 0.745
0.754 0.378 0.755
0.746 0.878 0.755
0.004 0.273 0.246
0.496 0.773 0.246
0.504 0.273 0.254
0.996 0.773 0.254
0.004 0.227 0.746
0.496 0.727 0.746
0.504 0.227 0.754
0.996 0.727 0.754
0.750 0.001 0.006
0.750 0.501 0.006
0.250 0.001 0.494
0.250 0.501 0.494
0.750 0.499 0.506
0.750 0.999 0.506
0.250 0.499 0.994
0.250 0.999 0.994
```

Output
Energy above the most stable polymorph in this dataset   0.70 eV/f.u.